Record 1
First-principles (meta-GGA SCAN) data for a crystal of LaSe2Cl relaxed with PBEsol, as listed in Alexandria.

Computed properties:
E above lowest polymorph   451 meV/atom
E   -24.11 eV/atom
Raw formation energy   -1.30 eV per atom

a = 3.815 Å, b = 3.815 Å, c = 6.946 Å
α = 90.00°, β = 90.00°, γ = 90.00°
Atoms (fractional coordinates):
La1 0.000 0.000 0.000
Se1 0.000 0.000 0.607
Se2 0.500 0.500 0.701
Cl1 0.500 0.500 0.193



Record 2
First-principles (meta-GGA SCAN) data for a crystal of ScCoGe2 relaxed with PBEsol, as listed in Alexandria.

Computed properties:
Energy relative to the elements   -0.591 eV per atom
E   -18.02 eV/atom

a = 9.045 Å, b = 9.968 Å, c = 7.857 Å
α = 90.00°, β = 90.00°, γ = 90.00°
Atoms (fractional coordinates):
Sc1 0.165 0.178 0.000
Sc2 0.174 0.453 0.239
Sc3 0.174 0.453 0.761
Sc4 0.326 0.953 0.239
Sc5 0.326 0.953 0.761
Sc6 0.335 0.678 0.000
Sc7 0.665 0.322 0.000
Sc8 0.674 0.047 0.239
Sc9 0.674 0.047 0.761
Sc10 0.826 0.547 0.239
Sc11 0.826 0.547 0.761
Sc12 0.835 0.822 0.000
Co1 0.000 0.000 0.248
Co2 0.000 0.000 0.752
Co3 0.090 0.747 0.253
Co4 0.090 0.747 0.747
Co5 0.410 0.247 0.253
Co6 0.410 0.247 0.747
Co7 0.500 0.500 0.248
Co8 0.500 0.500 0.752
Co9 0.590 0.753 0.253
Co10 0.590 0.753 0.747
Co11 0.910 0.253 0.253
Co12 0.910 0.253 0.747
Ge1 0.040 0.624 0.000
Ge2 0.042 0.624 0.500
Ge3 0.126 0.897 0.000
Ge4 0.127 0.904 0.500
Ge5 0.158 0.181 0.343
Ge6 0.158 0.181 0.657
Ge7 0.342 0.681 0.343
Ge8 0.342 0.681 0.657
Ge9 0.373 0.404 0.500
Ge10 0.374 0.397 0.000
Ge11 0.458 0.124 0.500
Ge12 0.460 0.124 0.000
Ge13 0.540 0.876 0.000
Ge14 0.542 0.876 0.500
Ge15 0.626 0.603 0.000
Ge16 0.627 0.596 0.500
Ge17 0.658 0.319 0.343
Ge18 0.658 0.319 0.657
Ge19 0.842 0.819 0.343
Ge20 0.842 0.819 0.657
Ge21 0.873 0.096 0.500
Ge22 0.874 0.103 0.000
Ge23 0.958 0.376 0.500
Ge24 0.960 0.376 0.000



Record 3
First-principles (meta-GGA SCAN) data for a crystal of Rb2Be2H relaxed with PBEsol, as listed in Alexandria.

Computed properties:
E   -9.79 eV/atom

a = 6.648 Å, b = 6.648 Å, c = 5.973 Å
α = 90.00°, β = 90.00°, γ = 90.00°
Atoms (fractional coordinates):
Rb1 0.000 0.500 0.250
Rb2 0.000 0.500 0.750
Rb3 0.500 0.000 0.250
Rb4 0.500 0.000 0.750
Be1 0.000 0.000 0.177
Be2 0.000 0.000 0.823
Be3 0.500 0.500 0.323
Be4 0.500 0.500 0.677
H1 0.000 0.000 0.500
H2 0.500 0.500 0.000



Record 4
First-principles (meta-GGA SCAN) data for a crystal of ScTcSe2 relaxed with PBEsol, as listed in Alexandria.

Computed properties:
E above lowest polymorph   241 meV/atom
E   -22.73 eV/atom
Raw formation energy   -0.37 eV per atom

a = 3.173 Å, b = 3.173 Å, c = 6.462 Å
α = 90.00°, β = 90.00°, γ = 90.00°
Atoms (fractional coordinates):
Sc1 0.000 0.000 0.000
Tc1 0.000 0.000 0.500
Se1 0.500 0.500 0.265
Se2 0.500 0.500 0.735



Record 5
First-principles (meta-GGA SCAN) data for a crystal of ZrTlHgB2 relaxed with PBEsol, as listed in Alexandria.

Computed properties:
Energy relative to the elements   1.362 eV per atom
E   -35.85 eV/atom

a = 4.209 Å, b = 4.209 Å, c = 5.610 Å
α = 90.00°, β = 90.00°, γ = 90.00°
Atoms (fractional coordinates):
Zr1 0.000 0.000 0.000
Tl1 0.500 0.500 0.000
Hg1 0.000 0.000 0.500
B1 0.000 0.500 0.500
B2 0.500 0.000 0.500



Record 6
First-principles (meta-GGA SCAN) data for a crystal of HfIn2Fe relaxed with PBEsol, as listed in Alexandria.

Computed properties:
Energy relative to the elements   0.170 eV per atom
E   -36.72 eV/atom

a = 6.636 Å, b = 6.636 Å, c = 6.636 Å
α = 90.00°, β = 90.00°, γ = 90.00°
Atoms (fractional coordinates):
Hf1 0.000 0.000 0.000
Hf2 0.000 0.500 0.500
Hf3 0.500 0.000 0.500
Hf4 0.500 0.500 0.000
In1 0.250 0.250 0.250
In2 0.250 0.250 0.750
In3 0.250 0.750 0.250
In4 0.250 0.750 0.750
In5 0.750 0.250 0.250
In6 0.750 0.250 0.750
In7 0.750 0.750 0.250
In8 0.750 0.750 0.750
Fe1 0.000 0.000 0.500
Fe2 0.000 0.500 0.000
Fe3 0.500 0.000 0.000
Fe4 0.500 0.500 0.500



Record 7
First-principles (meta-GGA SCAN) data for a crystal of Tm2CdS4 relaxed with PBEsol, as listed in Alexandria.

Computed properties:
E   -26.57 eV/atom
Raw formation energy   -1.92 eV per atom

a = 7.790 Å, b = 7.790 Å, c = 7.790 Å
α = 60.00°, β = 60.00°, γ = 60.00°
Atoms (fractional coordinates):
Tm1 0.000 0.000 0.000
Tm2 0.000 0.000 0.500
Tm3 0.000 0.500 0.000
Tm4 0.500 0.000 0.000
Cd1 0.375 0.375 0.375
Cd2 0.625 0.625 0.625
S1 0.227 0.758 0.758
S2 0.242 0.242 0.242
S3 0.242 0.242 0.773
S4 0.242 0.773 0.242
S5 0.758 0.227 0.758
S6 0.758 0.758 0.227
S7 0.758 0.758 0.758
S8 0.773 0.242 0.242



Record 8
First-principles (meta-GGA SCAN) data for a crystal of RhSeO2 relaxed with PBEsol, as listed in Alexandria.

Computed properties:
E   -16.48 eV/atom
Raw formation energy   0.09 eV per atom

a = 5.887 Å, b = 5.887 Å, c = 5.261 Å
α = 90.00°, β = 90.00°, γ = 90.00°
Atoms (fractional coordinates):
Rh1 0.000 0.000 0.000
Rh2 0.000 0.500 0.250
Rh3 0.500 0.000 0.750
Rh4 0.500 0.500 0.500
Se1 0.000 0.000 0.500
Se2 0.000 0.500 0.750
Se3 0.500 0.000 0.250
Se4 0.500 0.500 0.000
O1 0.225 0.750 0.125
O2 0.250 0.225 0.875
O3 0.250 0.275 0.375
O4 0.275 0.750 0.625
O5 0.725 0.250 0.625
O6 0.750 0.725 0.375
O7 0.750 0.775 0.875
O8 0.775 0.250 0.125



Record 9
First-principles (meta-GGA SCAN) data for a crystal of YZn2FeMo relaxed with PBEsol, as listed in Alexandria.

Computed properties:
Energy relative to the elements   1.126 eV per atom
E above lowest polymorph   0 meV/atom
E   -20.45 eV/atom

a = 4.826 Å, b = 4.826 Å, c = 4.920 Å
α = 90.00°, β = 90.00°, γ = 90.00°
Atoms (fractional coordinates):
Y1 0.000 0.000 0.000
Zn1 0.000 0.500 0.500
Zn2 0.500 0.000 0.500
Fe1 0.500 0.500 0.000
Mo1 0.000 0.000 0.500



Record 10
First-principles (meta-GGA SCAN) data for a crystal of LaTa7O19 relaxed with PBEsol, as listed in Alexandria.

Computed properties:
E   -26.42 eV/atom
Raw formation energy   -3.17 eV per atom

a = 6.226 Å, b = 6.226 Å, c = 20.039 Å
α = 90.00°, β = 90.00°, γ = 120.00°
Atoms (fractional coordinates):
La1 0.000 0.000 0.000
La2 0.000 0.000 0.500
Ta1 0.334 0.028 0.156
Ta2 0.334 0.028 0.344
Ta3 0.334 0.306 0.656
Ta4 0.334 0.306 0.844
Ta5 0.667 0.333 0.000
Ta6 0.667 0.333 0.500
Ta7 0.694 0.028 0.656
Ta8 0.694 0.028 0.844
Ta9 0.694 0.666 0.156
Ta10 0.694 0.666 0.344
Ta11 0.972 0.306 0.156
Ta12 0.972 0.306 0.344
Ta13 0.972 0.666 0.656
Ta14 0.972 0.666 0.844
O1 0.000 0.000 0.131
O2 0.000 0.000 0.369
O3 0.000 0.000 0.631
O4 0.000 0.000 0.869
O5 0.085 0.419 0.654
O6 0.085 0.419 0.846
O7 0.085 0.667 0.154
O8 0.085 0.667 0.346
O9 0.288 0.042 0.250
O10 0.288 0.245 0.750
O11 0.333 0.419 0.154
O12 0.333 0.419 0.346
O13 0.333 0.915 0.654
O14 0.333 0.915 0.846
O15 0.388 0.098 0.057
O16 0.388 0.098 0.443
O17 0.388 0.290 0.557
O18 0.388 0.290 0.943
O19 0.581 0.667 0.654
O20 0.581 0.667 0.846
O21 0.581 0.915 0.154
O22 0.581 0.915 0.346
O23 0.667 0.333 0.169
O24 0.667 0.333 0.331
O25 0.667 0.333 0.669
O26 0.667 0.333 0.831
O27 0.710 0.098 0.557
O28 0.710 0.098 0.943
O29 0.710 0.612 0.057
O30 0.710 0.612 0.443
O31 0.755 0.042 0.750
O32 0.755 0.712 0.250
O33 0.902 0.290 0.057
O34 0.902 0.290 0.443
O35 0.902 0.612 0.557
O36 0.902 0.612 0.943
O37 0.958 0.245 0.250
O38 0.958 0.712 0.750



Record 11
First-principles (meta-GGA SCAN) data for a crystal of Na3PI relaxed with PBEsol, as listed in Alexandria.

Computed properties:
E   -12.49 eV/atom
Raw formation energy   -0.53 eV per atom

a = 5.417 Å, b = 5.417 Å, c = 5.417 Å
α = 90.00°, β = 90.00°, γ = 90.00°
Atoms (fractional coordinates):
Na1 0.000 0.000 0.500
Na2 0.000 0.500 0.000
Na3 0.500 0.000 0.000
P1 0.000 0.000 0.000
I1 0.500 0.500 0.500



Record 12
First-principles (meta-GGA SCAN) data for a crystal of KBa2Ta relaxed with PBEsol, as listed in Alexandria.

Computed properties:
Energy relative to the elements   0.982 eV per atom
E above lowest polymorph   0 meV/atom
E   -37.52 eV/atom

a = 3.623 Å, b = 3.623 Å, c = 39.312 Å
α = 90.00°, β = 90.00°, γ = 120.00°
Atoms (fractional coordinates):
K1 0.000 0.000 0.000
K2 0.333 0.667 0.667
K3 0.667 0.333 0.333
Ba1 0.000 0.000 0.234
Ba2 0.000 0.000 0.766
Ba3 0.333 0.667 0.433
Ba4 0.333 0.667 0.900
Ba5 0.667 0.333 0.100
Ba6 0.667 0.333 0.567
Ta1 0.000 0.000 0.500
Ta2 0.333 0.667 0.167
Ta3 0.667 0.333 0.833